1.
Here is crystalline DyHoTlPb at its relaxed geometry from Alexandria via LeMat-Bulk. Energies are from PBE.

Results
- raw total energy (eV/f.u.) = -16.64
- E_form (eV/atom) = -0.35
- symmetry = F-43m (216)
- ΔE to the lowest computed polymorph (eV/f.u.) = 0.145

Cell lengths 5.3977, 5.3977, 5.3977 Å; angles 60.00, 60.00, 60.00 degrees
Fractional coordinates of all 4 atoms:
Dy: 0.0000 0.0000 0.0000
Ho: 0.5000 0.5000 0.5000
Tl: 0.7500 0.7500 0.7500
Pb: 0.2500 0.2500 0.2500

***

2.
Here is crystalline Tl2IrOs at its relaxed geometry from Alexandria via LeMat-Bulk. Energies are from PBE.

Results
- raw total energy (eV/f.u.) = -20.35
- E_form (eV/atom) = 1.12
- symmetry = F-43m (216)
- ΔE to the lowest computed polymorph (eV/f.u.) = 2.412

Cell lengths 4.7636, 4.7636, 4.7636 Å; angles 60.00, 60.00, 60.00 degrees
Fractional coordinates of all 4 atoms:
Tl: 0.0000 0.0000 0.0000
Tl: 0.2500 0.2500 0.2500
Ir: 0.7500 0.7500 0.7500
Os: 0.5000 0.5000 0.5000

***

3.
Here is crystalline Zr2ScPt at its relaxed geometry from Alexandria via LeMat-Bulk. Energies are from PBE.

Results
- raw total energy (eV/f.u.) = -31.03
- E_form (eV/atom) = -0.39
- symmetry = F-43m (216)
- ΔE to the lowest computed polymorph (eV/f.u.) = 0.752

Cell lengths 4.8341, 4.8341, 4.8341 Å; angles 60.00, 60.00, 60.00 degrees
Fractional coordinates of all 4 atoms:
Zr: 0.0000 0.0000 0.0000
Zr: 0.2500 0.2500 0.2500
Sc: 0.5000 0.5000 0.5000
Pt: 0.7500 0.7500 0.7500

***

4.
Here is crystalline MgGa2Ru2 at its relaxed geometry from Alexandria via LeMat-Bulk. Energies are from PBE.

Results
- raw total energy (eV/f.u.) = -27.68
- E_form (eV/atom) = -0.30
- symmetry = P4/mbm (127)
- ΔE to the lowest computed polymorph (eV/f.u.) = 0.000

Cell lengths 7.0506, 7.0506, 3.1311 Å; angles 90.00, 90.00, 90.00 degrees
Fractional coordinates of all 10 atoms:
Mg: 0.0000 0.0000 0.0000
Mg: 0.5000 0.5000 0.0000
Ga: 0.1355 0.3645 0.0000
Ga: 0.3645 0.8645 0.0000
Ga: 0.6355 0.1355 0.0000
Ga: 0.8645 0.6355 0.0000
Ru: 0.1594 0.6594 0.5000
Ru: 0.3406 0.1594 0.5000
Ru: 0.6594 0.8406 0.5000
Ru: 0.8406 0.3406 0.5000

***

5.
Here is crystalline CaTePCl2 at its relaxed geometry from Alexandria via LeMat-Bulk. Energies are from PBE.

Results
- raw total energy (eV/f.u.) = -16.30
- symmetry = P4/mmm (123)
- ΔE to the lowest computed polymorph (eV/f.u.) = 0.260
- E_form (uncorrected) (eV/atom) = -0.4108

Cell lengths 5.0064, 5.0064, 6.2850 Å; angles 90.00, 90.00, 90.00 degrees
Fractional coordinates of all 5 atoms:
Ca: 0.0000 0.0000 0.0000
Te: 0.5000 0.5000 0.5000
P: 0.0000 0.0000 0.5000
Cl: 0.0000 0.5000 0.0000
Cl: 0.5000 0.0000 0.0000

***

6.
Here is crystalline PaInCu2O8 at its relaxed geometry from Alexandria via LeMat-Bulk. Energies are from PBE.

Results
- raw total energy (eV/f.u.) = -75.00
- symmetry = I-4m2 (119)
- E_form (uncorrected) (eV/atom) = -1.2424

Cell lengths 5.9321, 5.9321, 5.9321 Å; angles 107.41, 107.41, 113.69 degrees
Fractional coordinates of all 12 atoms:
Pa: 0.0000 0.0000 0.0000
In: 0.7500 0.2500 0.5000
Cu: 0.2500 0.7500 0.5000
Cu: 0.5000 0.5000 0.0000
O: 0.0420 0.3624 0.3204
O: 0.0420 0.7216 0.6796
O: 0.1139 0.2922 0.8217
O: 0.2784 0.9580 0.3204
O: 0.4704 0.2922 0.1783
O: 0.6376 0.9580 0.6796
O: 0.7078 0.5296 0.8217
O: 0.7078 0.8861 0.1783

***

7.
Here is crystalline TcSe3Br at its relaxed geometry from Alexandria via LeMat-Bulk. Energies are from PBE.

Results
- raw total energy (eV/f.u.) = -20.97
- symmetry = Pm-3m (221)
- ΔE to the lowest computed polymorph (eV/f.u.) = 0.000
- E_form (uncorrected) (eV/atom) = 0.3043

Cell lengths 4.9006, 4.9006, 4.9006 Å; angles 90.00, 90.00, 90.00 degrees
Fractional coordinates of all 5 atoms:
Tc: 0.0000 0.0000 0.0000
Se: 0.0000 0.0000 0.5000
Se: 0.0000 0.5000 0.0000
Se: 0.5000 0.0000 0.0000
Br: 0.5000 0.5000 0.5000

***

8.
Here is crystalline Zn2CuTe at its relaxed geometry from Alexandria via LeMat-Bulk. Energies are from PBE.

Results
- raw total energy (eV/f.u.) = -9.14
- symmetry = P4/mmm (123)
- ΔE to the lowest computed polymorph (eV/f.u.) = 0.573
- E_form (uncorrected) (eV/atom) = 0.1627

Cell lengths 3.8118, 3.8118, 5.5511 Å; angles 90.00, 90.00, 90.00 degrees
Fractional coordinates of all 4 atoms:
Zn: 0.0000 0.0000 0.0000
Zn: 0.5000 0.5000 0.0000
Cu: 0.0000 0.0000 0.5000
Te: 0.5000 0.5000 0.5000

***

9.
Here is crystalline Ba2ZnNi at its relaxed geometry from Alexandria via LeMat-Bulk. Energies are from PBE.

Results
- raw total energy (eV/f.u.) = -10.47
- E_form (eV/atom) = 0.11
- symmetry = P4mm (99)

Cell lengths 3.6915, 3.6915, 9.2214 Å; angles 90.00, 90.00, 90.00 degrees
Fractional coordinates of all 4 atoms:
Ba: 0.0000 0.0000 0.0000
Ba: 0.5000 0.5000 0.4336
Zn: 0.5000 0.5000 0.7644
Ni: 0.0000 0.0000 0.6795

***

10.
Here is crystalline KBaIr2 at its relaxed geometry from Alexandria via LeMat-Bulk. Energies are from PBE.

Results
- raw total energy (eV/f.u.) = -16.79
- E_form (eV/atom) = 0.99
- symmetry = R-3m (166)
- ΔE to the lowest computed polymorph (eV/f.u.) = 3.675

Cell lengths 11.0680, 11.0680, 11.0680 Å; angles 15.89, 15.89, 15.89 degrees
Fractional coordinates of all 4 atoms:
K: 0.0000 0.0000 0.0000
Ba: 0.5000 0.5000 0.5000
Ir: 0.2500 0.2500 0.2500
Ir: 0.7500 0.7500 0.7500

***

11.
Here is crystalline MgFeCo2 at its relaxed geometry from Alexandria via LeMat-Bulk. Energies are from PBE.

Results
- raw total energy (eV/f.u.) = -22.40
- E_form (eV/atom) = 0.47
- symmetry = I-42d (122)

Cell lengths 5.3425, 5.3425, 5.3425 Å; angles 103.01, 103.01, 123.35 degrees
Fractional coordinates of all 8 atoms:
Mg: 0.0000 0.0000 0.0000
Mg: 0.7500 0.2500 0.5000
Fe: 0.2500 0.7500 0.5000
Fe: 0.5000 0.5000 0.0000
Co: 0.1630 0.1250 0.5380
Co: 0.3750 0.8370 0.9620
Co: 0.5870 0.6250 0.4620
Co: 0.8750 0.4130 0.0380

***

12.
Here is crystalline Rb2ZrUTe4 at its relaxed geometry from Alexandria via LeMat-Bulk. Energies are from PBE.

Results
- raw total energy (eV/f.u.) = -41.42
- symmetry = P2/m (10)
- E_form (uncorrected) (eV/atom) = -0.8858

Cell lengths 7.5412, 4.3780, 9.0518 Å; angles 90.00, 106.21, 90.00 degrees
Fractional coordinates of all 8 atoms:
Rb: 0.0000 0.0000 0.0000
Rb: 0.5000 0.5000 0.0000
Zr: 0.0000 0.5000 0.5000
U: 0.5000 0.0000 0.5000
Te: 0.2210 0.0000 0.6965
Te: 0.2535 0.5000 0.2976
Te: 0.7465 0.5000 0.7024
Te: 0.7790 0.0000 0.3035

***

13.
Here is crystalline GaGeAs2Rh at its relaxed geometry from Alexandria via LeMat-Bulk. Energies are from PBE.

Results
- raw total energy (eV/f.u.) = -20.38
- E_form (eV/atom) = 0.78
- symmetry = P4/mmm (123)

Cell lengths 4.8851, 4.8851, 4.6332 Å; angles 90.00, 90.00, 90.00 degrees
Fractional coordinates of all 5 atoms:
Ga: 0.0000 0.0000 0.0000
Ge: 0.5000 0.5000 0.5000
As: 0.0000 0.5000 0.0000
As: 0.5000 0.0000 0.0000
Rh: 0.0000 0.0000 0.5000

***

14.
Here is crystalline Pr2PtAu at its relaxed geometry from Alexandria via LeMat-Bulk. Energies are from PBE.

Results
- raw total energy (eV/f.u.) = -22.37
- E_form (eV/atom) = -0.87
- symmetry = R3m (160)

Cell lengths 7.6529, 7.6529, 7.6529 Å; angles 32.29, 32.29, 32.29 degrees
Fractional coordinates of all 4 atoms:
Pr: 0.0000 0.0000 0.0000
Pr: 0.1827 0.1827 0.1827
Pt: 0.5925 0.5925 0.5925
Au: 0.7572 0.7572 0.7572

***

15.
Here is crystalline LaTm2ThSc4 at its relaxed geometry from Alexandria via LeMat-Bulk. Energies are from PBE.

Results
- raw total energy (eV/f.u.) = -46.22
- E_form (eV/atom) = 0.05
- symmetry = P4/mmm (123)

Cell lengths 5.0306, 5.0306, 8.9364 Å; angles 90.00, 90.00, 90.00 degrees
Fractional coordinates of all 8 atoms:
La: 0.0000 0.0000 0.0000
Tm: 0.0000 0.0000 0.5000
Tm: 0.5000 0.5000 0.0000
Th: 0.5000 0.5000 0.5000
Sc: 0.0000 0.5000 0.2549
Sc: 0.0000 0.5000 0.7451
Sc: 0.5000 0.0000 0.2549
Sc: 0.5000 0.0000 0.7451

***

16.
Here is crystalline Ca2IrOs at its relaxed geometry from Alexandria via LeMat-Bulk. Energies are from PBE.

Results
- raw total energy (eV/f.u.) = -22.32
- E_form (eV/atom) = 0.44
- symmetry = Immm (71)
- ΔE to the lowest computed polymorph (eV/f.u.) = 1.795

Cell lengths 5.5021, 5.5021, 5.5021 Å; angles 145.23, 126.89, 65.05 degrees
Fractional coordinates of all 4 atoms:
Ca: 0.2491 0.2491 0.0000
Ca: 0.7509 0.7509 0.0000
Ir: 0.0000 0.5000 0.5000
Os: 0.5000 0.0000 0.5000

***

17.
Here is crystalline Sm4Tm5Sc at its relaxed geometry from Alexandria via LeMat-Bulk. Energies are from PBE.

Results
- raw total energy (eV/f.u.) = -45.32
- E_form (eV/atom) = 0.22
- symmetry = I4mm (107)
- ΔE to the lowest computed polymorph (eV/f.u.) = 0.460

Cell lengths 8.0389, 8.0389, 8.0389 Å; angles 97.29, 97.29, 138.27 degrees
Fractional coordinates of all 10 atoms:
Sm: 0.0000 0.3216 0.3216
Sm: 0.0000 0.6784 0.6784
Sm: 0.3216 0.0000 0.3216
Sm: 0.6784 0.0000 0.6784
Tm: 0.3042 0.3042 0.6266
Tm: 0.3042 0.6776 0.0000
Tm: 0.6776 0.3042 0.0000
Tm: 0.6776 0.6776 0.3734
Tm: 0.7710 0.7710 0.0000
Sc: 0.2468 0.2468 0.0000

***

18.
Here is crystalline LaPmEuCd at its relaxed geometry from Alexandria via LeMat-Bulk. Energies are from PBE.

Results
- raw total energy (eV/f.u.) = -20.85
- E_form (eV/atom) = 0.00
- symmetry = F-43m (216)

Cell lengths 5.7074, 5.7074, 5.7074 Å; angles 60.00, 60.00, 60.00 degrees
Fractional coordinates of all 4 atoms:
La: 0.0000 0.0000 0.0000
Pm: 0.2500 0.2500 0.2500
Eu: 0.5000 0.5000 0.5000
Cd: 0.7500 0.7500 0.7500

***

19.
Here is crystalline Tb2ThCd at its relaxed geometry from Alexandria via LeMat-Bulk. Energies are from PBE.

Results
- raw total energy (eV/f.u.) = -17.73
- E_form (eV/atom) = -0.03
- symmetry = R3m (160)
- ΔE to the lowest computed polymorph (eV/f.u.) = 0.548

Cell lengths 11.1060, 11.1060, 11.1060 Å; angles 18.51, 18.51, 18.51 degrees
Fractional coordinates of all 4 atoms:
Tb: 0.0000 0.0000 0.0000
Tb: 0.1783 0.1783 0.1783
Th: 0.7556 0.7556 0.7556
Cd: 0.5894 0.5894 0.5894

***

20.
Here is crystalline RhSeCl2 at its relaxed geometry from Alexandria via LeMat-Bulk. Energies are from PBE.

Results
- raw total energy (eV/f.u.) = -13.87
- symmetry = Cmmm (65)
- ΔE to the lowest computed polymorph (eV/f.u.) = 2.121
- E_form (uncorrected) (eV/atom) = 0.1640

Cell lengths 3.2257, 3.2257, 10.6630 Å; angles 90.00, 90.00, 123.60 degrees
Fractional coordinates of all 4 atoms:
Rh: 0.0000 0.0000 0.0000
Se: 0.0000 0.0000 0.5000
Cl: 0.5000 0.5000 0.1665
Cl: 0.5000 0.5000 0.8335